Material: InClF2
Method: DFT, PBE-GGA
State: optimized geometry

The structure in CIF format:
```
data_InClF2
_chemical_formula_sum 'In2 Cl2 F4'
_symmetry_space_group_name_H-M 'P 1'
_symmetry_Int_Tables_number 1
_symmetry_space_group_name_Hall 'P 1'
_cell_length_a 4.807
_cell_length_b 4.807
_cell_length_c 7.480
_cell_angle_alpha 71.26
_cell_angle_beta 71.26
_cell_angle_gamma 90.00
loop_
_atom_site_label
_atom_site_type_symbol
_atom_site_fract_x
_atom_site_fract_y
_atom_site_fract_z
F1 F 0.875 0.168 0.750
F2 F 0.375 0.082 0.750
F3 F 0.918 0.125 0.250
F4 F 0.832 0.625 0.250
Cl1 Cl 0.500 0.500 0.000
Cl2 Cl 0.250 0.750 0.500
In1 In 0.000 0.000 0.000
In2 In 0.750 0.250 0.500
```

## Properties
- uncorrected formation energy (meV per atom) = -1498
- density of states at the Fermi level (states/eV/atom) = 0.000
- polymorph energy (0 for the lowest one) (meV per atom) = 516


Material: InCl2F2
Method: DFT, PBE-GGA
State: optimized geometry

The structure in CIF format:
```
data_InCl2F2
_chemical_formula_sum 'In2 Cl4 F4'
_symmetry_space_group_name_H-M 'P 1'
_symmetry_Int_Tables_number 1
_symmetry_space_group_name_Hall 'P 1'
_cell_length_a 5.877
_cell_length_b 5.877
_cell_length_c 5.781
_cell_angle_alpha 90.00
_cell_angle_beta 90.00
_cell_angle_gamma 90.00
loop_
_atom_site_label
_atom_site_type_symbol
_atom_site_fract_x
_atom_site_fract_y
_atom_site_fract_z
Cl1 Cl 0.140 0.640 0.500
Cl2 Cl 0.360 0.140 0.500
Cl3 Cl 0.860 0.360 0.500
Cl4 Cl 0.640 0.860 0.500
F1 F 0.698 0.198 0.000
F2 F 0.198 0.302 0.000
F3 F 0.302 0.802 0.000
F4 F 0.802 0.698 0.000
In1 In 0.500 0.500 0.000
In2 In 0.000 0.000 0.000
```

## Properties
- uncorrected formation energy (meV per atom) = -1130
- density of states at the Fermi level (states/eV/atom) = 0.451
- polymorph energy (0 for the lowest one) (meV per atom) = 0


Material: In2ClF
Method: DFT, PBE-GGA
State: optimized geometry

The structure in CIF format:
```
data_In2ClF
_chemical_formula_sum 'In4 Cl2 F2'
_symmetry_space_group_name_H-M 'P 1'
_symmetry_Int_Tables_number 1
_symmetry_space_group_name_Hall 'P 1'
_cell_length_a 4.092
_cell_length_b 6.727
_cell_length_c 7.760
_cell_angle_alpha 85.63
_cell_angle_beta 90.00
_cell_angle_gamma 90.00
loop_
_atom_site_label
_atom_site_type_symbol
_atom_site_fract_x
_atom_site_fract_y
_atom_site_fract_z
Cl1 Cl 0.250 0.729 0.583
Cl2 Cl 0.750 0.271 0.417
In1 In 0.750 0.569 0.802
In2 In 0.750 0.889 0.218
In3 In 0.250 0.431 0.198
In4 In 0.250 0.111 0.782
F1 F 0.750 0.902 0.884
F2 F 0.250 0.098 0.116
```

## Properties
- uncorrected formation energy (meV per atom) = -1248
- polymorph energy (0 for the lowest one) (meV per atom) = 0